The following is a DFT calculation (PBEsol) of an optimized crystal structure of TaFe4Pt.

ΔH_f (0 K), eV/atom: -0.267
Total moment, μB per atom: 1.12
Raw total energy, eV/atom: -9.50

a = 4.6982 Å, b = 4.6982 Å, c = 4.6982 Å
α = 60.00°, β = 60.00°, γ = 60.00°
Fractional positions:
Fe (0.1256, 0.6248, 0.6248)
Fe (0.6248, 0.1256, 0.6248)
Fe (0.6248, 0.6248, 0.1256)
Fe (0.6248, 0.6248, 0.6248)
Pt (0.2500, 0.2500, 0.2500)
Ta (0.0000, 0.0000, 0.0000)